Compound: La2TlTc
Source: Alexandria via LeMat-Bulk
Functional: PBE
Structure: optimized geometry

Unit cell a=9.836 b=9.836 c=9.836 alpha=21.20 beta=21.20 gamma=21.20
Fractional positions:
La 0.005 0.005 0.005
La 0.231 0.231 0.231
Tc 0.499 0.499 0.499
Tl 0.765 0.765 0.765

Summary:
formation energy from the elements = 330 meV per atom
DFT total energy = -5.317 eV/atom
total moment = 0.07 μB per cell